## Er2AlB2Rh5 (PBE)

Data for crystalline Er2AlB2Rh5 at its relaxed geometry.

Cell and atoms, written as POSCAR:
```
Er2AlB2Rh5
1.0
-0.717 0.752 -2.972
4.687 -7.668 -3.070
-7.971 -5.124 0.627
Rh Al Er B
10 2 4 4
Cartesian
0.110 -1.655 -2.113
-4.111 -10.385 -3.302
1.985 -3.458 -3.021
2.262 -7.877 -4.205
-0.423 -7.338 -3.421
-4.344 -2.186 -1.172
-6.263 -4.163 -1.209
-3.415 -7.672 -2.784
-3.578 -4.702 -1.993
-0.586 -4.368 -2.631
0.000 0.000 0.000
-1.642 -6.396 -1.221
-5.051 -6.712 -0.479
-1.763 -3.009 -0.335
-1.521 -9.783 -2.107
1.767 -6.080 -1.964
0.788 -3.521 -1.080
-4.072 -9.270 -1.362
-4.389 -4.134 0.013
1.105 -8.657 -2.456
```

Results
For the uncorrected energy, the calculation gives -7.20 eV/atom. As for the crystal system: tetragonal. For the magnetic moment, the calculation gives 0.0 Bohr magnetons per cell. The formation enthalpy at 0 K is -20.91 kcal/mol of atoms.

## Ta2SbIr (PBE)

Data for crystalline Ta2SbIr at its relaxed geometry.

Cell and atoms, written as POSCAR:
```
Ta2SbIr
1.0
-1.852 -2.366 -0.025
0.598 -0.430 -2.913
6.051 -4.759 1.945
Sb Ta Ir
1 2 1
Cartesian
3.911 -4.967 -0.010
0.106 -0.083 0.034
2.919 -2.296 0.939
0.886 -2.588 -0.983
```

Results
For the uncorrected energy, the calculation gives -9.26 eV/atom. As for the crystal system: orthorhombic. The raw formation energy comes out at -0.0924 eV/atom. For the magnetic moment, the calculation gives 0.0 Bohr magnetons per cell.

## Mg2Tl2Cl5 (PBE)

Data for crystalline Mg2Tl2Cl5 at its relaxed geometry.

Cell and atoms, written as POSCAR:
```
Mg2Tl2Cl5
1.0
5.047 0.000 0.000
-2.524 6.372 0.474
0.000 -0.401 8.128
Cl Tl Mg
5 2 2
Cartesian
0.000 1.530 4.913
2.524 4.441 3.689
0.000 3.615 1.224
0.000 0.000 0.000
2.524 2.356 7.378
0.000 4.910 5.580
2.524 1.060 3.022
2.524 4.110 1.346
0.000 1.860 7.256
```

Results
For the uncorrected energy, the calculation gives -3.19 eV/atom. As for the crystal system: monoclinic. The raw formation energy comes out at -1.2843 eV/atom. For the magnetic moment, the calculation gives 1.0 Bohr magnetons per cell.